Material: TcSbMo2
Method: DFT, PBE
State: relaxed

Cell lengths 2.9922, 4.2195, 5.3127 Å; angles 90.00, 90.00, 90.00 degrees
Atoms (fractional coordinates):
1 Tc 0.0000 0.0000 0.0000
2 Sb 0.0000 0.0000 0.5000
3 Mo 0.5000 0.5000 0.2335
4 Mo 0.5000 0.5000 0.7665

Calculated values
Formation energy without anion corrections in meV/atom: 210
Crystal system: orthorhombic
Space group: No. 47
Total energy in eV per cell: -35.31
DOS(E_F) in states/eV/cell: 2.73